Here is RbCd2I2 after structural relaxation from Alexandria via LeMat-Bulk. Energies are from PBE.

## Properties
The calculation puts the formation energy (no corrections) at -2.8 eV/f.u. The magnetic moment is 0.0 μB/f.u. For the energy above the most stable polymorph in this dataset, the calculation gives 16.1 meV/atom. The value obtained for the final energy is -1.73 eV per atom.

a b c (Å): 6.2564 6.2564 10.4217
angles (deg): 90.00 90.00 90.00
Space group I4/mmm (No. 139)
Symmetry-distinct sites (fractional):
1 Rb 0.0000 0.0000 0.0000 (multiplicity 2)
2 Cd 0.0000 0.0000 0.3644 (multiplicity 4)
3 I 0.0000 0.5000 0.2500 (multiplicity 4)

Here is RbCdI after structural relaxation from Alexandria via LeMat-Bulk. Energies are from PBE.

## Properties
The calculation puts the formation energy (no corrections) at -2.3 eV/f.u. The magnetic moment is 0.0 μB/f.u. For the energy above the most stable polymorph in this dataset, the calculation gives 17.9 meV/atom. The value obtained for the final energy is -1.92 eV per atom.

a b c (Å): 6.5161 6.5161 7.2738
angles (deg): 90.00 90.00 120.00
Space group P6_3/mmc (No. 194)
Symmetry-distinct sites (fractional):
1 Rb 0.3333 0.6667 0.2500 (multiplicity 2)
2 Cd 0.0000 0.0000 0.0000 (multiplicity 2)
3 I 0.3333 0.6667 0.7500 (multiplicity 2)

Here is Rb3CdI after structural relaxation from Alexandria via LeMat-Bulk. Energies are from PBE.

## Properties
The calculation puts the formation energy (no corrections) at -2.1 eV/f.u. The magnetic moment is 0.0 μB/f.u. For the energy above the most stable polymorph in this dataset, the calculation gives 0.0 meV/atom. The value obtained for the final energy is -1.49 eV per atom.

a b c (Å): 7.1073 7.1073 7.1073
angles (deg): 90.00 90.00 90.00
Space group Pm-3m (No. 221)
Symmetry-distinct sites (fractional):
1 Rb 0.0000 0.0000 0.5000 (multiplicity 3)
2 Cd 0.5000 0.5000 0.5000 (multiplicity 1)
3 I 0.0000 0.0000 0.0000 (multiplicity 1)

Here is Rb4CdI2 after structural relaxation from Alexandria via LeMat-Bulk. Energies are from PBE.

## Properties
The calculation puts the formation energy (no corrections) at -4.3 eV/f.u. The magnetic moment is 1.5 μB/f.u. The value obtained for the final energy is -1.74 eV per atom.

a b c (Å): 6.8855 6.8855 19.1930
angles (deg): 90.00 90.00 90.00
Space group I4/mmm (No. 139)
Symmetry-distinct sites (fractional):
1 Rb 0.0000 0.0000 0.1952 (multiplicity 4)
2 Rb 0.0000 0.5000 0.0000 (multiplicity 4)
3 Cd 0.0000 0.0000 0.0000 (multiplicity 2)
4 I 0.0000 0.0000 0.3804 (multiplicity 4)

Here is RbCdI2 after structural relaxation from Alexandria via LeMat-Bulk. Energies are from PBE.

## Properties
The calculation puts the formation energy (no corrections) at -2.0 eV/f.u. The magnetic moment is 0.0 μB/f.u. For the energy above the most stable polymorph in this dataset, the calculation gives 272.4 meV/atom. The value obtained for the final energy is -1.74 eV per atom.

a b c (Å): 4.6741 4.6741 31.4316
angles (deg): 90.00 90.00 120.00
Space group R-3m (No. 166, hexagonal axes)
Symmetry-distinct sites (fractional):
1 Rb 0.0000 0.0000 0.0000 (multiplicity 3)
2 Cd 0.0000 0.0000 0.5000 (multiplicity 3)
3 I 0.0000 0.0000 0.1117 (multiplicity 6)

Here is Rb12Cd3I5 after structural relaxation from Alexandria via LeMat-Bulk. Energies are from PBE.

## Properties
The calculation puts the formation energy (no corrections) at -12.3 eV/f.u. The magnetic moment is 1.8 μB/f.u. The value obtained for the final energy is -1.72 eV per atom.

a b c (Å): 22.2342 22.2342 22.2342
angles (deg): 90.00 90.00 90.00
Space group Ia-3d (No. 230)
Symmetry-distinct sites (fractional):
1 Rb 0.0185 0.0683 0.6518 (multiplicity 96)
2 Cd 0.0000 0.2500 0.1250 (multiplicity 24)
3 I 0.0000 0.0000 0.0000 (multiplicity 16)
4 I 0.0000 0.2500 0.3750 (multiplicity 24)